[1]
Ba3Pt4Pb4 (PBE, relaxed); energy = -4.653 eV per atom; crystal system = orthorhombic
1.0
4.6094 0.0000 0.0000
0.0000 8.1770 0.0000
-2.3047 -4.0885 8.0767
Pt Pb Ba
4 4 3
direct
0.2180 0.7180 0.4360
0.5000 0.8004 0.0000
0.5000 0.1996 0.0000
0.7820 0.2820 0.5640
0.6727 0.8711 0.3454
0.3273 0.5258 0.6546
0.3273 0.1289 0.6546
0.6727 0.4742 0.3454
0.1154 0.1154 0.2308
0.0000 0.5000 0.0000
0.8846 0.8846 0.7692


[2]
Ba8Zn2Cd (PBE, relaxed); energy = -1.760 eV per atom; crystal system = monoclinic
1.0
-6.9253 -0.9561 0.0410
2.1805 -4.6830 7.7151
0.2341 9.1508 1.5545
Ba Cd Zn
8 1 2
direct
0.7983 0.6408 0.6408
0.5842 0.3341 0.0694
0.9842 0.7702 0.2300
0.3862 0.9385 0.6689
0.9842 0.2300 0.7702
0.5842 0.0694 0.3341
0.1833 0.3682 0.3682
0.3862 0.6689 0.9385
0.1319 0.0070 0.0070
0.4885 0.3175 0.6893
0.4885 0.6893 0.3175


[3]
Sc2CrPb (PBE, relaxed); energy = -6.021 eV per atom; crystal system = tetragonal
1.0
7.6913 0.0000 0.0000
0.0000 7.6913 0.0000
3.8457 3.8457 2.8728
Pb Sc Cr
2 4 2
direct
0.0000 0.0000 0.0000
0.7500 0.2500 0.5000
0.8750 0.8202 0.7500
0.1798 0.6250 0.2500
0.3750 0.4298 0.7500
0.5702 0.1250 0.2500
0.5000 0.5000 0.0000
0.2500 0.7500 0.5000


[4]
B2IrC (PBE, relaxed); energy = -7.377 eV per atom; crystal system = tetragonal
1.0
4.4492 0.0000 0.0000
0.0000 4.4492 0.0000
2.2246 2.2246 3.9111
Ir C B
2 2 4
direct
0.7500 0.2500 0.5000
0.0000 0.0000 0.0000
0.5000 0.5000 0.0000
0.2500 0.7500 0.5000
0.3750 0.4635 0.7500
0.2135 0.6250 0.2500
0.8750 0.7865 0.7500
0.5365 0.1250 0.2500


[5]
MnNbTe2N (PBE, relaxed); energy = -6.421 eV per atom; crystal system = tetragonal; E_form (uncorrected) = 349 meV/atom
1.0
-2.9750 3.8234 -2.0996
0.5204 -2.2122 -4.7658
-2.8464 -1.9009 0.5716
Te N Mn Nb
2 1 1 1
direct
0.5000 0.0000 0.0000
0.0000 0.5000 0.0000
0.0000 0.0000 0.5000
0.0000 0.0000 0.0000
0.5000 0.5000 0.5000


[6]
LiGa2Pt3 (PBE, relaxed); energy = -4.969 eV per atom; crystal system = hexagonal
1.0
4.0166 0.0000 0.0000
0.0000 4.8286 -2.7878
0.0000 0.0000 5.5756
Li Ga Pt
1 2 3
direct
0.0000 0.0000 0.0000
0.5000 0.3333 0.6667
0.5000 0.6667 0.3333
0.0000 0.5000 0.0000
0.0000 0.5000 0.5000
0.0000 0.0000 0.5000


[7]
Ho2ErBi3 (PBE, relaxed); energy = -5.055 eV per atom; crystal system = orthorhombic
1.0
-2.2210 2.1554 -3.2018
-3.7159 -5.0157 -0.7988
-1.2704 3.8436 6.5654
Bi Er Ho
3 1 2
direct
0.5000 0.0000 0.5000
0.8340 0.3340 0.1679
0.1660 0.6660 0.8321
0.5000 0.5000 0.5000
0.8331 0.8331 0.1662
0.1669 0.1669 0.8338


[8]
Tl5SnHg8 (PBE, relaxed); energy = -1.285 eV per atom; crystal system = tetragonal
1.0
7.7215 0.4353 -2.4845
-3.9914 6.6241 -2.4845
-0.2300 -0.4353 8.1081
Hg Tl Sn
8 5 1
direct
0.2798 0.3817 0.2653
0.6050 0.8586 0.4018
0.4567 0.2031 0.5982
0.7969 0.3950 0.2536
0.6183 0.8835 0.8981
0.1165 0.0145 0.7347
0.9855 0.7202 0.1019
0.1414 0.5433 0.7464
0.9740 0.1111 0.3623
0.7488 0.6117 0.6377
0.8889 0.2512 0.8629
0.3883 0.0260 0.1371
0.5000 0.5000 0.0000
0.2500 0.7500 0.5000


[9]
PmScS2 (PBE, relaxed); energy = -6.755 eV per atom; crystal system = trigonal; E_form (uncorrected) = -1921 meV/atom
1.0
-3.1596 1.8413 0.9839
-2.9450 -1.9150 1.4146
0.3686 0.8170 6.9424
S Sc Pm
2 1 1
direct
0.0733 0.0733 0.7801
0.2589 0.2589 0.2232
0.6725 0.6725 0.9825
0.4953 0.4953 0.5142


[10]
Sc2PPb (PBE, relaxed); energy = -6.175 eV per atom; crystal system = monoclinic
1.0
-0.7705 -1.1349 3.1649
0.0300 -3.1325 -1.1159
7.3486 -1.6958 1.1809
Sc Pb P
2 1 1
direct
0.0000 0.9238 0.7999
0.0000 0.0762 0.2001
0.5000 0.5000 0.5000
0.5000 0.5000 0.0000


[11]
PmHoTmHg (PBE, relaxed); energy = -3.534 eV per atom; crystal system = cubic
1.0
5.4032 0.0000 0.0000
2.7016 4.6793 0.0000
2.7016 1.5598 4.4117
Pm Hg Tm Ho
1 1 1 1
direct
0.5000 0.5000 0.5000
0.0000 0.0000 0.0000
0.7500 0.7500 0.7500
0.2500 0.2500 0.2500


[12]
LiAcPd (PBE, relaxed); energy = -4.113 eV per atom; crystal system = cubic
1.0
4.9707 0.0000 0.0000
2.4853 4.3047 0.0000
2.4853 1.4349 4.0585
Pd Li Ac
1 1 1
direct
0.2500 0.2500 0.2500
0.5000 0.5000 0.5000
0.0000 0.0000 0.0000